[1]
The following is a DFT calculation (GGA-PBE) of crystalline BiAs2Ir at its relaxed geometry.

```
data_BiAs2Ir
_chemical_formula_sum 'Bi4 As8 Ir4'
_space_group_name_H-M_alt 'F -4 3 m'
_space_group_IT_number 216
_space_group_name_Hall 'F -4 2 3'
_cell_length_a 6.8166
_cell_length_b 6.8166
_cell_length_c 6.8166
_cell_angle_alpha 90.00
_cell_angle_beta 90.00
_cell_angle_gamma 90.00
loop_
_atom_site_label
_atom_site_type_symbol
_atom_site_fract_x
_atom_site_fract_y
_atom_site_fract_z
_atom_site_occupancy
Bi1 Bi 0.0000 0.0000 0.0000 1
As1 As 0.0000 0.0000 0.5000 1
As2 As 0.2500 0.2500 0.7500 1
Ir1 Ir 0.2500 0.2500 0.2500 1
```

Computed properties:
ρ = 11.56 g/cm³
M_tot = 0.00 μB/f.u.
calculated total energy = -80.60 eV per cell
calculated volume = 79 Å³/f.u.

=====

[2]
The following is a DFT calculation (GGA-PBE) of crystalline Li4BiAsIr2 at its relaxed geometry.

```
data_Li4BiAsIr2
_chemical_formula_sum 'Li4 Bi1 As1 Ir2'
_space_group_name_H-M_alt 'P -4 m 2'
_space_group_IT_number 115
_cell_length_a 4.2435
_cell_length_b 4.2435
_cell_length_c 6.6136
_cell_angle_alpha 90.00
_cell_angle_beta 90.00
_cell_angle_gamma 90.00
loop_
_space_group_symop_operation_xyz
'x,y,z'
'y,-x,-z'
'-x,-y,z'
'-y,x,-z'
'-x,y,z'
'-y,-x,-z'
'x,-y,z'
'y,x,-z'
loop_
_atom_site_label
_atom_site_type_symbol
_atom_site_fract_x
_atom_site_fract_y
_atom_site_fract_z
_atom_site_occupancy
Li1 Li 0.0000 0.0000 0.0000 1
Li2 Li 0.0000 0.5000 0.7171 1
Li3 Li 0.5000 0.5000 0.5000 1
Bi1 Bi 0.5000 0.5000 0.0000 1
As1 As 0.0000 0.0000 0.5000 1
Ir1 Ir 0.0000 0.5000 0.2855 1
```

Computed properties:
ρ = 9.71 g/cm³
M_tot = 0.01 μB/f.u.
calculated total energy = -36.69 eV per cell
calculated volume = 119 Å³/f.u.